## i
An optimized crystal structure of LaMgTa, computed with PBE.

Cell: 16.0817 3.5601 5.1696 Å, 90.00 90.68 90.00°
Last column: nearest neighbours and their distance in Å.
Fractional coordinates of all 12 atoms:
1 Mg 0.9043 0.5000 0.4361  7 Mg 3.14-3.38
2 Mg 0.7452 0.5000 0.0022  7 Mg 3.14-3.38
3 Mg 0.7452 0.0000 0.5022  7 Mg 3.14-3.38
4 Mg 0.9043 0.0000 0.9361  7 Mg 3.14-3.38
5 La 0.0932 0.5000 0.9671  4 La 3.14, 2 Ta 3.24
6 La 0.0932 0.0000 0.4671  4 La 3.14, 2 Ta 3.24
7 La 0.5564 0.0000 0.9804  4 La 3.14, 2 Ta 3.24
8 La 0.5564 0.5000 0.4804  4 La 3.14, 2 Ta 3.24
9 Ta 0.2615 0.5000 0.4716  2 Ta 2.70
10 Ta 0.3881 0.0000 0.4780  2 Ta 2.70
11 Ta 0.2615 0.0000 0.9716  2 Ta 2.70
12 Ta 0.3881 0.5000 0.9780  2 Ta 2.70

Results
Its crystal system is monoclinic. Its symmetry is Cm (8). As for the total magnetization: 0.00 μB/atom. The calculation puts the density of states at the Fermi level at 3.33 states/eV/f.u.

## ii
An optimized crystal structure of LaMgTa, computed with PBE.

Cell: 4.9502 4.9502 4.9502 Å, 60.00 60.00 60.00°
Last column: nearest neighbours and their distance in Å.
Fractional coordinates of all 3 atoms:
1 Ta 0.7500 0.7500 0.7500  4 La 3.03, 4 Mg 3.03
2 Mg 0.5000 0.5000 0.5000  4 Ta 3.03
3 La 0.0000 0.0000 0.0000  4 Ta 3.03

Results
Its crystal system is cubic. Its symmetry is F-43m (216). As for the total magnetization: 0.74 μB/atom. The calculation puts the density of states at the Fermi level at 3.06 states/eV/f.u.

Last place for stability: ii